Entry 1:
GaAg3Se4 after structural relaxation. Source: the Alexandria database, functional PBE.

Summary:
SG ... No. 31
Uncorrected energy ... -3.37 eV per atom
Density of states at the Fermi level ... 13.90 states/eV/cell
Formation energy without anion corrections ... -140 kJ/mol of formula units
Calculated density ... 5.62 g cm⁻³

The structure in POSCAR format:
```
GaAg3Se4
1.0
8.272 0.000 0.000
0.000 7.189 0.000
0.000 0.000 7.044
Ga Ag Se
2 6 8
Cartesian
0.000 1.216 0.000 Ga
4.136 5.972 3.522 Ga
0.000 6.088 3.459 Ag
2.065 2.386 3.451 Ag
2.071 4.802 6.974 Ag
4.136 1.101 6.981 Ag
6.207 2.386 3.451 Ag
6.201 4.802 6.974 Ag
0.000 1.247 4.586 Se
0.000 6.101 0.844 Se
2.001 2.339 0.832 Se
2.135 4.850 4.354 Se
4.136 1.088 4.366 Se
4.136 5.942 1.064 Se
6.137 4.850 4.354 Se
6.271 2.339 0.832 Se
```

=====

Entry 2:
GaAg3Se3 after structural relaxation. Source: the Alexandria database, functional PBE.

Summary:
SG ... No. 14
Uncorrected energy ... -3.35 eV per atom
Density of states at the Fermi level ... 3.44 states/eV/cell
Formation energy without anion corrections ... -133 kJ/mol of formula units
Calculated density ... 6.29 g cm⁻³

The structure in POSCAR format:
```
GaAg3Se3
1.0
7.117 0.000 0.000
0.000 7.704 0.000
-2.434 0.000 12.148
Ga Ag Se
4 12 12
Cartesian
1.117 0.655 0.777 Ga
-0.100 3.196 6.851 Ga
4.782 4.507 5.297 Ga
3.565 7.048 11.371 Ga
0.137 5.006 1.851 Ag
-1.080 6.549 7.925 Ag
1.869 1.297 4.164 Ag
0.652 2.555 10.238 Ag
0.546 5.346 11.332 Ag
1.763 6.209 5.258 Ag
2.919 1.494 6.890 Ag
4.136 2.357 0.816 Ag
4.031 5.149 1.910 Ag
2.813 6.407 7.984 Ag
5.762 1.155 4.223 Ag
4.545 2.697 10.297 Ag
0.073 4.350 4.623 Se
-1.145 7.205 10.697 Se
0.352 0.863 6.358 Se
1.569 2.989 0.284 Se
0.852 4.691 8.503 Se
2.069 6.864 2.429 Se
2.613 0.839 9.719 Se
3.830 3.013 3.645 Se
3.113 4.714 11.864 Se
4.330 6.841 5.790 Se
5.827 0.498 1.451 Se
4.610 3.353 7.525 Se
```

=====

Entry 3:
GaAg3Se after structural relaxation. Source: the Alexandria database, functional PBE.

Summary:
SG ... No. 221
Polymorph energy (0 for the lowest one) ... 0.00 eV/f.u.
Uncorrected energy ... -2.63 eV per atom
Density of states at the Fermi level ... 2.16 states/eV/cell
Formation energy without anion corrections ... 185 kJ/mol of formula units
Calculated density ... 5.93 g cm⁻³

The structure in POSCAR format:
```
GaAg3Se
1.0
5.094 0.000 0.000
0.000 5.094 0.000
0.000 0.000 5.094
Ga Ag Se
1 3 1
Cartesian
0.000 0.000 0.000 Ga
0.000 2.547 2.547 Ag
2.547 0.000 2.547 Ag
2.547 2.547 0.000 Ag
2.547 2.547 2.547 Se
```

=====

Entry 4:
GaAg2Se2 after structural relaxation. Source: the Alexandria database, functional PBE.

Summary:
SG ... No. 12
Polymorph energy (0 for the lowest one) ... 0.00 eV/f.u.
Uncorrected energy ... -3.21 eV per atom
Density of states at the Fermi level ... 2.90 states/eV/cell
Formation energy without anion corrections ... -34 kJ/mol of formula units
Calculated density ... 5.59 g cm⁻³

The structure in POSCAR format:
```
GaAg2Se2
1.0
6.371 -2.274 0.000
6.371 2.274 0.000
-5.591 0.000 9.096
Ga Ag Se
2 4 4
Cartesian
1.004 0.000 1.214 Ga
6.147 0.000 7.883 Ga
-0.534 0.000 4.518 Ag
2.211 0.000 6.288 Ag
4.940 0.000 2.808 Ag
7.686 0.000 4.579 Ag
-4.088 0.000 7.755 Se
2.181 0.000 3.398 Se
4.971 0.000 5.698 Se
11.239 0.000 1.342 Se
```